one) Density functional theory data (PBE-GGA) for a geometry-optimized TlCr2In structure.

POSCAR file:
```
TlCr2In
1.0
3.1636 0.0000 0.0000
0.0000 3.1636 0.0000
0.0000 0.0000 7.7880
Tl Cr In
1 2 1
Direct
0.0000 0.0000 0.0000
0.5000 0.5000 0.2575
0.5000 0.5000 0.7425
0.0000 0.0000 0.5000
```

Computed properties:
V in Å³/cell: 78
Total magnetic moment in μB per cell: 7.29
Crystal system: tetragonal



two) Density functional theory data (PBE-GGA) for a geometry-optimized TlCr2In structure.

POSCAR file:
```
TlCr2In
1.0
7.0262 0.0000 0.0000
0.0000 7.0262 0.0000
0.0000 0.0000 7.0262
Tl Cr In
4 8 4
Direct
0.0000 0.0000 0.0000
0.0000 0.5000 0.5000
0.5000 0.0000 0.5000
0.5000 0.5000 0.0000
0.0000 0.0000 0.5000
0.0000 0.5000 0.0000
0.2500 0.2500 0.7500
0.2500 0.7500 0.2500
0.5000 0.0000 0.0000
0.5000 0.5000 0.5000
0.7500 0.2500 0.2500
0.7500 0.7500 0.7500
0.2500 0.2500 0.2500
0.2500 0.7500 0.7500
0.7500 0.2500 0.7500
0.7500 0.7500 0.2500
```

Computed properties:
V in Å³/cell: 347
Total magnetic moment in μB per cell: 35.03
Crystal system: cubic



three) Density functional theory data (PBE-GGA) for a geometry-optimized TlCr2In structure.

POSCAR file:
```
TlCr2In
1.0
3.0866 0.0000 0.0000
0.0000 3.0866 0.0000
0.0000 0.0000 8.2007
Tl Cr In
1 2 1
Direct
0.0000 0.0000 0.0000
0.0000 0.0000 0.4135
0.5000 0.5000 0.2699
0.5000 0.5000 0.6522
```

Computed properties:
V in Å³/cell: 78
Total magnetic moment in μB per cell: 0.25
Crystal system: tetragonal



How do the energies compare? Relative to the most stable structure, in kJ/mol of atoms: one) 16.6; two) 36.7; three) 0.0.



one) Density functional theory data (PBE-GGA) for a geometry-optimized TlCr2In structure.

POSCAR file:
```
TlCr2In
1.0
6.3017 0.0000 0.0000
0.0000 7.8347 0.0000
-0.0097 0.0000 3.1498
Tl Cr In
2 4 2
Direct
0.0000 0.0000 0.0000
0.5000 0.5000 0.0000
0.2500 0.2500 0.5000
0.2500 0.7500 0.5000
0.7500 0.2500 0.5000
0.7500 0.7500 0.5000
0.0000 0.5000 0.0000
0.5000 0.0000 0.0000
```

Computed properties:
V in Å³/cell: 156
Total magnetic moment in μB per cell: 14.38
Crystal system: monoclinic



two) Density functional theory data (PBE-GGA) for a geometry-optimized TlCr2In structure.

POSCAR file:
```
TlCr2In
1.0
10.8466 0.0000 0.0000
0.0000 3.2120 0.0000
-1.6950 0.0000 4.5929
Tl Cr In
2 4 2
Direct
0.0000 0.0000 0.0000
0.5000 0.5000 0.0000
0.9997 0.5000 0.5003
0.2491 0.5000 0.0887
0.4997 0.0000 0.5003
0.7491 0.0000 0.0887
0.2442 0.0000 0.5821
0.7442 0.5000 0.5821
```

Computed properties:
V in Å³/cell: 160
Total magnetic moment in μB per cell: 14.50
Crystal system: monoclinic



three) Density functional theory data (PBE-GGA) for a geometry-optimized TlCr2In structure.

POSCAR file:
```
TlCr2In
1.0
3.0851 0.0000 0.0000
0.0000 3.0917 0.0000
-1.5376 0.0000 8.0483
Tl Cr In
1 2 1
Direct
0.0000 0.0000 0.0000
0.2011 0.0000 0.4060
0.6298 0.5000 0.2617
0.8211 0.5000 0.6468
```

Computed properties:
V in Å³/cell: 77
Total magnetic moment in μB per cell: 0.15
Crystal system: monoclinic



How do the energies compare? Relative to the most stable structure, in kJ/mol of atoms: one) 20.1; two) 25.4; three) 0.0.



one) Density functional theory data (PBE-GGA) for a geometry-optimized TlCr2In structure.

POSCAR file:
```
TlCr2In
1.0
3.1906 0.0000 0.0000
0.0000 3.7974 0.0000
0.0000 0.0000 6.3972
Tl Cr In
1 2 1
Direct
0.0000 0.0000 0.0000
0.5000 0.5000 0.2563
0.5000 0.5000 0.7437
0.0000 0.0000 0.5000
```

Computed properties:
V in Å³/cell: 78
Total magnetic moment in μB per cell: 7.12
Crystal system: orthorhombic



two) Density functional theory data (PBE-GGA) for a geometry-optimized TlCr2In structure.

POSCAR file:
```
TlCr2In
1.0
9.1342 0.0000 0.0000
0.0000 3.2542 0.0000
-1.1526 0.0000 5.5459
Tl Cr In
2 4 2
Direct
0.0000 0.0000 0.0000
0.5000 0.5000 0.0000
0.2483 0.0000 0.7446
0.2517 0.5000 0.2554
0.7483 0.5000 0.7446
0.7517 0.0000 0.2554
0.0000 0.5000 0.5000
0.5000 0.0000 0.5000
```

Computed properties:
V in Å³/cell: 165
Total magnetic moment in μB per cell: 14.92
Crystal system: monoclinic



How do the energies compare? Relative to the most stable structure, in kJ/mol of atoms: one) 0.0; two) 7.6.



one) Density functional theory data (PBE-GGA) for a geometry-optimized TlCr2In structure.

POSCAR file:
```
TlCr2In
1.0
6.8105 0.0000 0.0000
0.0000 6.8105 0.0000
0.0000 0.0000 6.8105
Tl Cr In
4 8 4
Direct
0.0000 0.0000 0.0000
0.0000 0.5000 0.5000
0.5000 0.0000 0.5000
0.5000 0.5000 0.0000
0.2500 0.2500 0.2500
0.2500 0.2500 0.7500
0.2500 0.7500 0.2500
0.2500 0.7500 0.7500
0.7500 0.2500 0.2500
0.7500 0.2500 0.7500
0.7500 0.7500 0.2500
0.7500 0.7500 0.7500
0.0000 0.0000 0.5000
0.0000 0.5000 0.0000
0.5000 0.0000 0.0000
0.5000 0.5000 0.5000
```

Computed properties:
V in Å³/cell: 316
Total magnetic moment in μB per cell: 30.20
Crystal system: cubic



two) Density functional theory data (PBE-GGA) for a geometry-optimized TlCr2In structure.

POSCAR file:
```
TlCr2In
1.0
7.5966 0.0000 0.0000
0.0000 7.5966 0.0000
0.0000 0.0000 6.2373
Tl Cr In
4 8 4
Direct
0.0000 0.0000 0.0000
0.0000 0.5000 0.2500
0.5000 0.0000 0.7500
0.5000 0.5000 0.5000
0.2475 0.2500 0.6250
0.2500 0.7475 0.8750
0.2500 0.7525 0.3750
0.2525 0.2500 0.1250
0.7475 0.7500 0.1250
0.7500 0.2475 0.3750
0.7500 0.2525 0.8750
0.7525 0.7500 0.6250
0.0000 0.0000 0.5000
0.0000 0.5000 0.7500
0.5000 0.0000 0.2500
0.5000 0.5000 0.0000
```

Computed properties:
V in Å³/cell: 360
Total magnetic moment in μB per cell: 31.93
Crystal system: tetragonal



How do the energies compare? Relative to the most stable structure, in kJ/mol of atoms: one) 0.0; two) 29.6.